[1]
# Tl2RuCl (GGA-PBEsol, optimized geometry)
# Crystal system ... monoclinic
# Mass density ... 10.660 g/cm3
# Energy ... -16.83 eV/cell
# Formation energy without anion corrections ... 153.1 meV per atom
data_Tl2RuCl
_symmetry_space_group_name_H-M 'P 1 2/m 1'
_symmetry_Int_Tables_number 10
_symmetry_space_group_name_Hall '-P 2y'
_cell_length_a 3.285
_cell_length_b 3.277
_cell_length_c 7.889
_cell_angle_alpha 90.00
_cell_angle_beta 90.10
_cell_angle_gamma 90.00
loop_
_atom_site_label
_atom_site_fract_x
_atom_site_fract_y
_atom_site_fract_z
_atom_site_occupancy
Tl1 0.001 0.000 0.203 1
Ru1 0.500 0.500 0.000 1
Cl1 0.000 0.500 0.500 1

---

[2]
# KTl2Co (GGA-PBEsol, optimized geometry)
# Crystal system ... cubic
# Formation enthalpy at 0 K ... 57.1 kJ/mol of atoms
# Mass density ... 9.204 g/cm3
# Energy ... -47.06 eV/cell
data_KTl2Co
_symmetry_space_group_name_H-M 'F m -3 m'
_symmetry_Int_Tables_number 225
_symmetry_space_group_name_Hall '-F 4 2 3'
_cell_length_a 7.151
_cell_length_b 7.151
_cell_length_c 7.151
_cell_angle_alpha 90.00
_cell_angle_beta 90.00
_cell_angle_gamma 90.00
loop_
_atom_site_label
_atom_site_fract_x
_atom_site_fract_y
_atom_site_fract_z
_atom_site_occupancy
K1 0.000 0.000 0.000 1
Tl1 0.250 0.250 0.250 1
Co1 0.000 0.000 0.500 1